Arrangement w

{
  "formula": "Hf2PaPb2",
  "functional": "PBE-GGA",
  "state": "relaxed",
  "lattice_angstrom": [[-2.274, 2.274, 6.705], [2.274, -2.274, 6.705], [2.274, 2.274, -6.705]],
  "species": ["Hf", "Hf", "Pa", "Pb", "Pb"],
  "fractional_positions": [[0.400, 0.400, 0.000], [0.600, 0.600, 0.000], [0.000, 0.000, 0.000], [0.250, 0.750, 0.500], [0.750, 0.250, 0.500]],
  "volume_a3_per_atom": 27.746,
  "space_group": "No. 139"
}

---

Arrangement x

{
  "formula": "Hf2PaPb2",
  "functional": "PBE-GGA",
  "state": "relaxed",
  "lattice_angstrom": [[-2.277, 6.924, 2.220], [1.366, 7.014, -2.646], [-1.970, -7.183, -1.607]],
  "species": ["Pa", "Hf", "Hf", "Pb", "Pb"],
  "fractional_positions": [[0.000, 0.000, 0.000], [0.250, 0.750, 0.500], [0.750, 0.250, 0.500], [0.396, 0.396, 0.000], [0.604, 0.604, 0.000]],
  "volume_a3_per_atom": 25.825,
  "space_group": "No. 139"
}

---

Stability verdict: arrangement x, ahead by 37.8 kJ/mol of atoms

---

Arrangement w

{
  "formula": "HfPaSi",
  "functional": "PBE-GGA",
  "state": "relaxed",
  "lattice_angstrom": [[0.000, 3.265, 3.265], [3.265, 0.000, 3.265], [3.265, 3.265, 0.000]],
  "species": ["Pa", "Hf", "Si"],
  "fractional_positions": [[0.750, 0.750, 0.750], [0.250, 0.250, 0.250], [0.000, 0.000, 0.000]],
  "volume_a3_per_atom": 23.207,
  "space_group": "No. 216"
}

---

Arrangement x

{
  "formula": "HfPaSi",
  "functional": "PBE-GGA",
  "state": "relaxed",
  "lattice_angstrom": [[0.000, 3.359, 3.359], [3.359, 0.000, 3.359], [3.359, 3.359, 0.000]],
  "species": ["Si", "Pa", "Hf"],
  "fractional_positions": [[0.750, 0.750, 0.750], [0.000, 0.000, 0.000], [0.250, 0.250, 0.250]],
  "volume_a3_per_atom": 25.273,
  "space_group": "No. 216"
}

---

Stability verdict: arrangement w, ahead by 88.1 kJ/mol of atoms